Cr2POs | PBE | optimized geometry

Geometry as POSCAR:
```
Cr2POs
1.0
-2.438 0.076 1.337
-1.742 -1.195 -3.108
0.627 -4.562 1.403
Cr Os P
2 1 1
direct
0.000 0.000 0.982 Cr
0.500 0.500 0.262 Cr
0.000 0.000 0.490 Os
0.500 0.500 0.767 P
```

## Properties
formation energy from the elements	0.3	eV per formula unit
space-group type	Pmm2 (25)
E	-35.58	eV per formula unit
D(E_F)	0.9230	states/eV per atom

=====

Cr2POs | PBE | optimized geometry

Geometry as POSCAR:
```
Cr2POs
1.0
4.882 0.009 -0.001
2.284 4.314 0.001
-3.106 -2.953 2.338
Cr Os P
2 1 1
direct
0.031 0.031 0.000 Cr
0.748 0.248 0.500 Cr
0.476 0.476 0.000 Os
0.246 0.746 0.500 P
```

## Properties
formation energy from the elements	-0.3	eV per formula unit
space-group type	Imm2 (44)
E	-36.22	eV per formula unit
D(E_F)	0.9218	states/eV per atom

=====

CrPOs2 | PBE | optimized geometry

Geometry as POSCAR:
```
CrPOs2
1.0
-2.197 3.538 -0.771
-2.566 1.589 2.971
1.025 3.603 1.977
Cr Os P
1 2 1
direct
0.500 0.500 0.500 Cr
0.000 0.000 0.000 Os
0.250 0.250 0.250 Os
0.750 0.750 0.750 P
```

## Properties
formation energy from the elements	1.7	eV per formula unit
space-group type	F-43m (216)
E	-35.83	eV per formula unit
D(E_F)	1.0502	states/eV per atom

=====

Cr2POs | PBE | optimized geometry

Geometry as POSCAR:
```
Cr2POs
1.0
-0.837 -2.575 0.391
2.366 -1.184 -2.735
3.416 -0.621 3.225
Cr Os P
2 1 1
direct
0.000 0.000 0.976 Cr
0.000 0.000 0.524 Cr
0.500 0.500 0.250 Os
0.500 0.500 0.750 P
```

## Properties
formation energy from the elements	-0.3	eV per formula unit
space-group type	Pmmm (47)
E	-36.22	eV per formula unit
D(E_F)	0.8164	states/eV per atom

=====

CrPOs2 | PBE | optimized geometry

Geometry as POSCAR:
```
CrPOs2
1.0
4.941 0.000 0.024
-2.083 4.480 0.024
0.686 1.076 2.479
Cr Os P
1 2 1
direct
0.000 0.500 0.500 Cr
0.000 0.000 0.000 Os
0.500 0.500 0.000 Os
0.500 0.000 0.500 P
```

## Properties
formation energy from the elements	1.7	eV per formula unit
space-group type	C2/m (12)
E	-35.83	eV per formula unit
D(E_F)	1.1257	states/eV per atom

=====

Cr2POs | PBE | optimized geometry

Geometry as POSCAR:
```
Cr2POs
1.0
4.722 0.007 0.000
2.143 4.207 0.000
-3.432 -2.107 2.465
Cr Os P
2 1 1
direct
0.000 0.000 0.000 Cr
0.500 0.500 0.000 Cr
0.250 0.750 0.500 Os
0.750 0.250 0.500 P
```

## Properties
formation energy from the elements	0.1	eV per formula unit
space-group type	I4/mmm (139)
E	-35.84	eV per formula unit
D(E_F)	0.8515	states/eV per atom

=====

CrP2Os | PBE | optimized geometry

Geometry as POSCAR:
```
CrP2Os
1.0
7.390 -0.031 -0.018
6.849 2.777 -0.018
6.849 1.321 2.443
Cr Os P
1 1 2
direct
0.250 0.250 0.250 Cr
0.750 0.750 0.750 Os
0.996 0.996 0.996 P
0.504 0.504 0.504 P
```

## Properties
formation energy from the elements	0.1	eV per formula unit
space-group type	R-3m (166)
E	-31.61	eV per formula unit
D(E_F)	0.8639	states/eV per atom
ΔE to the lowest computed polymorph	0.280	eV/atom

=====

Cr2POs | PBE | optimized geometry

Geometry as POSCAR:
```
Cr2POs
1.0
-2.564 -4.041 0.580
1.915 -4.110 -1.638
0.565 3.736 2.993
Cr Os P
2 1 1
direct
0.021 0.021 0.000 Cr
0.479 0.479 0.000 Cr
0.750 0.250 0.500 Os
0.250 0.750 0.500 P
```

## Properties
formation energy from the elements	-0.5	eV per formula unit
space-group type	Immm (71)
E	-36.40	eV per formula unit
D(E_F)	0.6759	states/eV per atom

=====

CrPOs2 | PBE | optimized geometry

Geometry as POSCAR:
```
CrPOs2
1.0
-1.349 -1.948 -1.514
-0.398 -1.531 2.325
-5.601 3.059 1.056
Cr Os P
1 2 1
direct
0.500 0.500 0.713 Cr
0.000 0.000 0.990 Os
0.500 0.500 0.278 Os
0.000 0.000 0.519 P
```

## Properties
formation energy from the elements	-0.2	eV per formula unit
space-group type	P4mm (99)
E	-37.72	eV per formula unit
D(E_F)	0.7932	states/eV per atom

=====

CrPOs | PBE | optimized geometry

Geometry as POSCAR:
```
CrPOs
1.0
4.029 0.000 0.000
-2.014 3.489 0.000
0.000 0.000 2.781
Cr Os P
1 1 1
direct
0.000 0.000 0.000 Cr
0.333 0.667 0.500 Os
0.667 0.333 0.500 P
```

## Properties
formation energy from the elements	-0.3	eV per formula unit
space-group type	P-6m2 (187)
E	-26.59	eV per formula unit
D(E_F)	0.5650	states/eV per atom

=====

Cr2POs | PBE | optimized geometry

Geometry as POSCAR:
```
Cr2POs
1.0
-0.441 -1.116 -2.620
0.726 -2.608 0.988
-5.589 -1.032 1.379
Cr Os P
2 1 1
direct
0.000 0.000 0.986 Cr
0.500 0.500 0.232 Cr
0.000 0.000 0.503 Os
0.500 0.500 0.779 P
```

## Properties
formation energy from the elements	-0.3	eV per formula unit
space-group type	P4mm (99)
E	-36.14	eV per formula unit
D(E_F)	0.7805	states/eV per atom

=====

Cr2POs | PBE | optimized geometry

Geometry as POSCAR:
```
Cr2POs
1.0
-0.336 -1.802 1.973
2.143 1.606 0.286
-4.341 5.094 3.915
Cr Os P
2 1 1
direct
0.000 0.000 0.991 Cr
0.500 0.500 0.234 Cr
0.000 0.000 0.513 Os
0.500 0.500 0.762 P
```

## Properties
formation energy from the elements	1.3	eV per formula unit
space-group type	Cmm2 (35)
E	-34.59	eV per formula unit
D(E_F)	1.1153	states/eV per atom

=====

CrPOs | PBE | optimized geometry

Geometry as POSCAR:
```
CrPOs
1.0
-4.705 -0.268 -1.738
-2.164 -2.728 -3.619
3.026 0.058 4.009
Cr Os P
1 1 1
direct
0.983 0.983 0.000 Cr
0.675 0.675 0.000 Os
0.342 0.342 0.000 P
```

## Properties
formation energy from the elements	-0.3	eV per formula unit
space-group type	I4mm (107)
E	-26.61	eV per formula unit
D(E_F)	0.9086	states/eV per atom

=====

CrP2Os | PBE | optimized geometry

Geometry as POSCAR:
```
CrP2Os
1.0
0.000 2.894 2.894
2.894 0.000 2.894
2.894 2.894 0.000
Cr Os P
1 1 2
direct
0.000 0.000 0.000 Cr
0.500 0.500 0.500 Os
0.250 0.250 0.250 P
0.750 0.750 0.750 P
```

## Properties
formation energy from the elements	-0.6	eV per formula unit
space-group type	Fm-3m (225)
E	-32.23	eV per formula unit
D(E_F)	0.5998	states/eV per atom
ΔE to the lowest computed polymorph	0.124	eV/atom

=====

CrP2Os | PBE | optimized geometry

Geometry as POSCAR:
```
CrP2Os
1.0
4.725 0.001 0.000
1.204 4.569 0.000
-2.054 -3.466 2.468
Cr Os P
1 1 2
direct
0.750 0.250 0.500 Cr
0.250 0.750 0.500 Os
0.992 0.992 0.000 P
0.508 0.508 0.000 P
```

## Properties
formation energy from the elements	1.2	eV per formula unit
space-group type	Immm (71)
E	-30.45	eV per formula unit
D(E_F)	0.8358	states/eV per atom
ΔE to the lowest computed polymorph	0.569	eV/atom

=====

Cr3POs | PBE | optimized geometry

Geometry as POSCAR:
```
Cr3POs
1.0
-1.644 -1.890 3.254
3.581 -1.876 0.720
1.155 3.126 2.400
Cr Os P
3 1 1
direct
0.000 0.500 0.000 Cr
0.000 0.000 0.500 Cr
0.500 0.000 0.000 Cr
0.500 0.500 0.500 Os
0.000 0.000 0.000 P
```

## Properties
formation energy from the elements	3.6	eV per formula unit
space-group type	Pm-3m (221)
E	-41.90	eV per formula unit
D(E_F)	0.9693	states/eV per atom
ΔE to the lowest computed polymorph	0.000	eV/atom

=====

CrP4Os | PBE | optimized geometry

Geometry as POSCAR:
```
CrP4Os
1.0
3.738 -2.153 2.308
2.376 2.378 3.555
-0.495 -1.430 4.653
Cr P Os
1 4 1
direct
0.750 0.750 0.750 Cr
0.875 0.375 0.375 P
0.375 0.375 0.875 P
0.375 0.875 0.375 P
0.375 0.375 0.375 P
0.000 0.000 0.000 Os
```

## Properties
formation energy from the elements	5.4	eV per formula unit
space-group type	F-43m (216)
E	-37.09	eV per formula unit
D(E_F)	0.6882	states/eV per atom

=====

Cr2POs | PBE | optimized geometry

Geometry as POSCAR:
```
Cr2POs
1.0
4.173 0.000 0.000
0.000 4.173 0.000
0.000 0.000 2.862
Cr Os P
2 1 1
direct
0.000 0.000 0.000 Cr
0.500 0.500 0.000 Cr
0.500 0.000 0.500 Os
0.000 0.500 0.500 P
```

## Properties
formation energy from the elements	0.6	eV per formula unit
space-group type	P4/mmm (123)
E	-35.33	eV per formula unit
D(E_F)	1.2121	states/eV per atom

=====

CrPOs2 | PBE | optimized geometry

Geometry as POSCAR:
```
CrPOs2
1.0
3.794 0.000 0.000
0.000 2.764 -0.001
0.000 1.385 5.063
Cr Os P
1 2 1
direct
0.500 0.703 0.719 Cr
0.000 0.069 0.986 Os
0.500 0.433 0.259 Os
0.000 0.295 0.536 P
```

## Properties
formation energy from the elements	-0.2	eV per formula unit
space-group type	Amm2 (38)
E	-37.71	eV per formula unit
D(E_F)	0.8483	states/eV per atom

=====

CrP2Os | PBE | optimized geometry

Geometry as POSCAR:
```
CrP2Os
1.0
2.842 0.000 0.000
0.000 2.842 0.000
0.000 0.000 7.371
Cr Os P
1 1 2
direct
0.000 0.000 0.498 Cr
0.500 0.500 0.742 Os
0.000 0.000 0.934 P
0.500 0.500 0.326 P
```

## Properties
formation energy from the elements	0.1	eV per formula unit
space-group type	P4mm (99)
E	-31.57	eV per formula unit
D(E_F)	0.8289	states/eV per atom
ΔE to the lowest computed polymorph	0.291	eV/atom

=====

PaCrP2Os | PBE | optimized geometry

Geometry as POSCAR:
```
PaCrP2Os
1.0
4.063 0.000 0.000
0.000 4.063 0.000
-2.031 -2.031 4.717
Pa Cr P Os
1 1 2 1
direct
0.000 0.000 0.000 Pa
0.750 0.250 0.500 Cr
0.629 0.629 0.257 P
0.371 0.371 0.743 P
0.250 0.750 0.500 Os
```

## Properties
formation energy from the elements	-3.6	eV per formula unit
space-group type	I-4m2 (119)
E	-44.75	eV per formula unit
D(E_F)	1.0622	states/eV per atom

=====

CrPOs2Ru | PBE | optimized geometry

Geometry as POSCAR:
```
CrPOs2Ru
1.0
-1.742 1.643 4.013
-3.840 0.719 -1.961
-1.397 -4.306 1.157
Ru Os P Cr
1 2 1 1
direct
0.000 0.000 0.000 Ru
0.000 0.000 0.500 Os
0.500 0.000 0.000 Os
0.500 0.500 0.500 P
0.000 0.500 0.000 Cr
```

## Properties
formation energy from the elements	11.0	eV per formula unit
space-group type	P4/mmm (123)
E	-35.76	eV per formula unit
D(E_F)	1.4549	states/eV per atom

=====

CrPOsS2 | PBE | optimized geometry

Geometry as POSCAR:
```
CrPOsS2
1.0
-1.792 3.669 1.370
-3.659 -1.030 -2.026
-1.442 -2.070 3.656
Cr S Os P
1 2 1 1
direct
0.000 0.000 0.000 Cr
0.000 0.500 0.000 S
0.500 0.000 0.000 S
0.500 0.500 0.500 Os
0.000 0.000 0.500 P
```

## Properties
space-group type	P4/mmm (123)
E	-28.93	eV per formula unit
D(E_F)	1.1349	states/eV per atom
ΔE to the lowest computed polymorph	0.332	eV/atom

=====

CrPOsS2 | PBE | optimized geometry

Geometry as POSCAR:
```
CrPOsS2
1.0
-1.263 3.148 3.412
-4.639 -0.971 -0.822
0.138 -3.211 3.014
Cr S Os P
1 2 1 1
direct
0.500 0.500 0.500 Cr
0.000 0.500 0.000 S
0.500 0.000 0.000 S
0.000 0.000 0.000 Os
0.000 0.000 0.500 P
```

## Properties
space-group type	P4/mmm (123)
E	-30.59	eV per formula unit
D(E_F)	1.1740	states/eV per atom
ΔE to the lowest computed polymorph	0.000	eV/atom

=====

SrCrP2Os | PBE | optimized geometry

Geometry as POSCAR:
```
SrCrP2Os
1.0
-1.034 2.325 -3.075
-3.321 1.081 1.934
5.045 2.774 2.992
Sr Cr P Os
1 1 2 1
direct
0.000 0.000 0.000 Sr
0.250 0.750 0.500 Cr
0.644 0.644 0.288 P
0.356 0.356 0.712 P
0.750 0.250 0.500 Os
```

## Properties
formation energy from the elements	-3.3	eV per formula unit
space-group type	I-4m2 (119)
E	-36.70	eV per formula unit
D(E_F)	0.4448	states/eV per atom

=====

TlCr2POs | PBE | optimized geometry

Geometry as POSCAR:
```
TlCr2POs
1.0
5.017 0.000 0.000
0.000 5.008 0.000
0.000 0.000 5.017
Cr Tl Os P
2 1 1 1
direct
0.000 0.000 0.500 Cr
0.500 0.000 0.000 Cr
0.000 0.000 0.000 Tl
0.000 0.500 0.000 Os
0.500 0.500 0.500 P
```

## Properties
formation energy from the elements	11.4	eV per formula unit
space-group type	P4/mmm (123)
E	-26.90	eV per formula unit
D(E_F)	1.1065	states/eV per atom

=====

YCr2POs | PBE | optimized geometry

Geometry as POSCAR:
```
YCr2POs
1.0
4.273 0.000 0.000
0.000 5.087 0.000
0.000 0.000 4.273
Y Cr Os P
1 2 1 1
direct
0.000 0.500 0.000 Y
0.000 0.000 0.500 Cr
0.500 0.000 0.000 Cr
0.500 0.500 0.500 Os
0.000 0.000 0.000 P
```

## Properties
formation energy from the elements	3.0	eV per formula unit
space-group type	P4/mmm (123)
E	-39.38	eV per formula unit
D(E_F)	0.8282	states/eV per atom

=====

PaCrOs | PBE | optimized geometry

Geometry as POSCAR:
```
PaCrOs
1.0
4.213 0.000 0.000
0.000 3.956 0.000
0.000 -1.978 3.426
Cr Pa Os
1 1 1
direct
0.094 0.000 0.000 Cr
0.667 0.333 0.667 Pa
0.239 0.667 0.333 Os
```

## Properties
formation energy from the elements	0.3	eV per formula unit
space-group type	P3m1 (156)
E	-30.06	eV per formula unit
D(E_F)	1.5907	states/eV per atom
ΔE to the lowest computed polymorph	0.000	eV/atom

=====

PaCr2Os | PBE | optimized geometry

Geometry as POSCAR:
```
PaCr2Os
1.0
-2.316 -3.122 1.932
1.554 -1.983 3.535
-1.921 0.887 4.007
Cr Pa Os
2 1 1
direct
0.761 0.761 0.717 Cr
0.239 0.239 0.283 Cr
0.500 0.500 0.500 Pa
0.000 0.000 0.000 Os
```

## Properties
formation energy from the elements	1.0	eV per formula unit
space-group type	R-3m (166)
E	-38.94	eV per formula unit
D(E_F)	1.7207	states/eV per atom

=====

Pa2CrOs3 | PBE | optimized geometry

Geometry as POSCAR:
```
Pa2CrOs3
1.0
-1.963 -1.632 -4.935
3.158 -3.441 3.010
-6.490 -2.869 3.530
Pa Cr Os
4 2 6
direct
0.667 0.333 0.432 Pa
0.333 0.667 0.568 Pa
0.333 0.667 0.932 Pa
0.667 0.333 0.068 Pa
0.000 0.000 0.500 Cr
0.000 0.000 0.000 Cr
0.166 0.333 0.250 Os
0.333 0.166 0.750 Os
0.834 0.667 0.750 Os
0.166 0.834 0.250 Os
0.834 0.166 0.750 Os
0.667 0.834 0.250 Os
```

## Properties
formation energy from the elements	-1.8	eV per formula unit
space-group type	P6_3/mmc (194)
E	-64.11	eV per formula unit
D(E_F)	1.0315	states/eV per atom